[1]
Pm5PrS6: relaxed, PBE.

Summary:
As for the space group: C2/m. As for the crystal system: monoclinic. For the total energy, the calculation gives -6.48 eV per atom. For the uncorrected formation energy, the calculation gives -2035 meV/atom.

Structure (POSCAR):
```
Pm5PrS6
1.0
-6.152 3.326 -0.264
-4.635 -3.285 4.096
-0.636 1.841 6.744
Pr S Pm
1 6 5
Cartesian
0.000 0.000 0.000
-5.202 2.831 2.420
-4.451 -0.441 4.578
-2.719 0.005 0.970
-8.068 0.037 2.862
-6.972 2.324 5.998
-6.221 -0.948 8.156
-4.267 2.354 5.061
-1.758 -0.484 3.610
-5.394 0.021 1.916
-3.513 -0.960 7.231
-7.156 -0.471 5.515
```

[2]
Pm3Pr5S8: relaxed, PBE.

Summary:
As for the space group: R-3m. As for the crystal system: trigonal. For the total energy, the calculation gives -6.47 eV per atom. For the uncorrected formation energy, the calculation gives -2021 meV/atom.

Structure (POSCAR):
```
Pm3Pr5S8
1.0
-0.600 6.102 5.382
-1.399 -1.626 7.872
5.900 1.168 5.518
Pm Pr S
3 5 8
Cartesian
2.650 3.635 5.450
2.950 0.584 2.759
2.251 -0.229 6.695
-0.300 3.051 2.691
-1.000 2.238 6.627
0.000 0.000 0.000
-0.700 -0.813 3.936
1.951 2.822 9.386
3.898 1.989 7.426
3.192 1.169 11.398
3.595 5.069 10.142
2.881 4.235 14.071
0.003 3.655 11.345
0.709 4.475 7.373
0.306 0.575 8.629
1.021 1.409 4.700
```

[3]
Pm4PrS4: relaxed, PBE.

Summary:
As for the space group: I4/m. As for the crystal system: tetragonal. For the total energy, the calculation gives -6.27 eV per atom. For the uncorrected formation energy, the calculation gives -1793 meV/atom.

Structure (POSCAR):
```
Pm4PrS4
1.0
-1.486 0.948 5.406
-6.889 0.020 1.094
-0.580 -5.793 3.846
Pm Pr S
4 1 4
Cartesian
-5.078 -0.571 4.685
-3.877 -4.255 5.661
-1.904 -2.190 2.851
-7.051 -2.636 7.495
0.000 0.000 0.000
-4.586 -3.753 8.368
-4.369 -1.073 1.978
-6.283 -3.146 4.806
-2.673 -1.679 5.540
```

[4]
Pm3PrS4: relaxed, PBE.

Summary:
As for the space group: Pm-3m. As for the crystal system: cubic. For the total energy, the calculation gives -6.46 eV per atom. For the uncorrected formation energy, the calculation gives -2019 meV/atom. The calculation puts the offset from the most stable computed form at 14 meV per atom.

Structure (POSCAR):
```
Pm3PrS4
1.0
5.732 0.000 0.000
0.000 5.732 0.000
0.000 0.000 5.732
Pm Pr S
3 1 4
Cartesian
0.000 2.866 2.866
2.866 0.000 2.866
2.866 2.866 0.000
0.000 0.000 0.000
2.866 0.000 0.000
0.000 2.866 0.000
0.000 0.000 2.866
2.866 2.866 2.866
```

[5]
Pm6Pr2S3: relaxed, PBE.

Summary:
As for the space group: R-3m. As for the crystal system: trigonal. For the total energy, the calculation gives -5.64 eV per atom. For the uncorrected formation energy, the calculation gives -1056 meV/atom.

Structure (POSCAR):
```
Pm6Pr2S3
1.0
-1.346 1.415 -3.342
0.003 -2.210 -3.178
-23.577 -8.608 3.606
Pm Pr S
6 2 3
Cartesian
-18.856 -6.905 2.427
-6.063 -2.498 -5.341
-10.668 -3.952 0.380
-14.252 -5.451 -3.295
-22.392 -8.284 1.025
-2.528 -1.119 -3.939
-16.458 -6.144 -0.458
-8.461 -3.259 -2.456
0.000 0.000 0.000
-3.620 -1.409 -1.381
-21.299 -7.994 -1.534
```

[6]
PmPr3S6: relaxed, PBE.

Summary:
As for the space group: R-3. As for the crystal system: trigonal. For the total energy, the calculation gives -6.42 eV per atom. For the uncorrected formation energy, the calculation gives -2031 meV/atom. The calculation puts the offset from the most stable computed form at 0 meV per atom.

Structure (POSCAR):
```
PmPr3S6
1.0
-6.022 -5.795 -0.200
1.623 -1.126 -8.123
5.707 -5.724 2.133
Pm Pr S
2 6 12
Cartesian
0.000 0.000 0.000
0.654 -6.323 -3.095
3.174 -7.864 -6.005
-1.875 -8.700 -5.363
-0.156 -2.500 -4.483
1.464 -10.145 -1.707
3.183 -3.945 -0.827
-1.866 -4.781 -0.185
0.023 -3.281 -7.273
4.860 -5.501 -6.053
0.399 -7.027 -5.765
-3.919 -6.650 -5.562
2.829 -8.041 -3.179
2.081 -3.983 -3.518
-0.773 -8.662 -2.672
-1.521 -4.604 -3.011
5.227 -5.995 -0.628
0.909 -5.618 -0.425
-3.551 -7.144 -0.137
1.286 -9.364 1.083
```

[7]
Pm3Pr2S4: relaxed, PBE.

Summary:
As for the space group: C2/m. As for the crystal system: monoclinic. For the total energy, the calculation gives -6.26 eV per atom. For the uncorrected formation energy, the calculation gives -1785 meV/atom.

Structure (POSCAR):
```
Pm3Pr2S4
1.0
-3.557 -0.942 -1.668
-1.879 -6.213 2.625
-5.877 1.862 6.587
Pm Pr S
3 2 4
Cartesian
0.000 0.000 0.000
-2.624 -2.281 1.990
-8.689 -3.014 5.554
-6.045 -0.662 3.478
-5.268 -4.632 4.066
-4.790 -0.837 0.900
-6.523 -4.458 6.644
-7.283 -0.575 6.069
-4.030 -4.719 1.475
```

[8]
PmPr4S6: relaxed, PBE.

Summary:
As for the space group: Cmcm. As for the crystal system: orthorhombic. For the total energy, the calculation gives -6.44 eV per atom. For the uncorrected formation energy, the calculation gives -2019 meV/atom.

Structure (POSCAR):
```
PmPr4S6
1.0
3.994 0.000 0.000
-1.997 6.762 0.000
0.000 0.000 20.578
Pm Pr S
2 8 12
Cartesian
1.997 2.078 5.144
0.000 4.683 15.433
1.997 4.873 11.128
0.000 5.538 2.672
0.000 1.889 9.450
1.997 1.224 17.906
1.997 4.873 19.739
0.000 1.889 0.839
1.997 1.224 12.961
0.000 5.538 7.617
1.997 0.000 0.000
1.997 0.000 10.289
0.000 0.720 6.798
1.997 6.042 13.780
1.997 6.042 17.087
0.000 0.720 3.491
1.997 3.654 8.419
0.000 3.107 12.159
0.000 3.107 18.708
1.997 3.654 1.870
0.000 4.086 5.144
1.997 2.676 15.433
```

[9]
Pm2PrS4: relaxed, PBE.

Summary:
As for the space group: Cmcm. As for the crystal system: orthorhombic. For the total energy, the calculation gives -6.45 eV per atom. For the uncorrected formation energy, the calculation gives -2046 meV/atom. The calculation puts the offset from the most stable computed form at 0 meV per atom.

Structure (POSCAR):
```
Pm2PrS4
1.0
-0.213 -1.888 3.463
0.925 -4.915 -4.877
13.351 1.103 1.422
Pm Pr S
4 2 8
Cartesian
5.960 -1.042 -0.202
12.924 -4.260 0.724
1.140 -1.440 -0.715
8.104 -4.659 0.210
10.112 -1.585 2.010
3.952 -4.115 -2.001
1.968 -4.032 0.175
5.396 -3.749 0.540
12.096 -1.668 -0.167
8.668 -1.952 -0.532
10.678 -5.628 -0.160
3.386 -0.072 0.169
-0.106 -0.944 1.732
6.569 -0.393 2.442
```

[10]
Pm4PrS6: relaxed, PBE.

Summary:
As for the space group: Cmcm. As for the crystal system: orthorhombic. For the total energy, the calculation gives -6.46 eV per atom. For the uncorrected formation energy, the calculation gives -2045 meV/atom.

Structure (POSCAR):
```
Pm4PrS6
1.0
3.972 0.000 0.000
-1.986 6.645 0.000
0.000 0.000 20.371
Pm Pr S
8 2 12
Cartesian
1.986 4.796 11.005
0.000 5.431 2.611
0.000 1.849 9.366
1.986 1.215 17.761
1.986 4.796 19.552
0.000 1.849 0.819
1.986 1.215 12.796
0.000 5.431 7.575
1.986 2.051 5.093
0.000 4.594 15.278
1.986 0.000 0.000
1.986 0.000 10.186
0.000 0.665 6.776
1.986 5.980 13.596
1.986 5.980 16.961
0.000 0.665 3.410
1.986 3.577 8.349
0.000 3.069 12.022
0.000 3.069 18.535
1.986 3.577 1.836
0.000 4.110 5.093
1.986 2.535 15.278
```

[11]
PmPrS3: relaxed, PBE.

Summary:
As for the space group: C2/c. As for the crystal system: monoclinic. For the total energy, the calculation gives -6.35 eV per atom. For the uncorrected formation energy, the calculation gives -1963 meV/atom. The calculation puts the offset from the most stable computed form at 110 meV per atom.

Structure (POSCAR):
```
PmPrS3
1.0
-6.407 0.153 -3.506
3.172 -3.604 -7.505
-1.207 -8.823 0.269
Pm Pr S
4 4 12
Cartesian
-4.102 -9.623 -7.472
-4.371 -3.561 -3.553
-0.340 -2.651 -3.270
-0.070 -8.713 -7.189
1.203 -4.003 -7.729
-5.644 -8.271 -3.013
-1.188 -6.854 -3.483
-3.253 -5.420 -7.259
-1.506 -3.228 -7.928
-3.009 -5.238 -10.124
-2.936 -9.046 -2.814
-1.432 -7.036 -0.618
-4.453 -1.306 -5.522
-1.831 -9.268 -9.391
0.011 -10.968 -5.220
-2.611 -3.006 -1.351
-2.442 -7.808 -6.033
-5.575 -4.834 -5.801
-1.999 -4.466 -4.709
1.134 -7.440 -4.941
```

[12]
PmPr5S8: relaxed, PBE.

Summary:
As for the space group: I-4. As for the crystal system: tetragonal. For the total energy, the calculation gives -6.42 eV per atom. For the uncorrected formation energy, the calculation gives -2020 meV/atom.

Structure (POSCAR):
```
PmPr5S8
1.0
-3.037 2.214 6.493
-5.470 -0.618 -5.097
3.380 -6.663 0.684
Pm Pr S
1 5 8
Cartesian
-0.959 -4.753 -0.412
-1.819 -1.039 -1.798
-6.635 -0.430 1.291
-3.394 -2.919 2.088
0.171 -2.224 3.589
1.594 -5.746 2.578
-4.454 -0.317 -2.989
-1.090 -2.791 6.303
-2.480 -0.961 3.982
-1.091 -4.723 2.616
-4.001 -0.805 0.208
-3.830 -4.963 0.112
-0.880 -2.062 0.734
-2.682 -3.644 -2.647
```

Q: The lowest uncorrected formation energy belongs to which entry?
A: Pm2PrS4